1.
This record from Alexandria describes a geometry-optimized MgCr4Br structure. The functional is GGA-PBE.

The structure in CIF format:
```
data_MgCr4Br
_symmetry_space_group_name_H-M 'F -4 3 m'
_symmetry_Int_Tables_number 216
_symmetry_space_group_name_Hall 'F -4 2 3'
_cell_length_a 7.0270
_cell_length_b 7.0270
_cell_length_c 7.0270
_cell_angle_alpha 90.00
_cell_angle_beta 90.00
_cell_angle_gamma 90.00
loop_
_atom_site_label
_atom_site_type_symbol
_atom_site_fract_x
_atom_site_fract_y
_atom_site_fract_z
Mg1 Mg 0.0000 0.0000 0.0000
Cr1 Cr 0.1244 0.1244 0.3756
Br1 Br 0.2500 0.2500 0.7500
```

Output
M_tot ... 0.00 Bohr magnetons per cell
Energy relative to the elements, uncorrected ... 0.800 eV/atom



2.
This record from Alexandria describes a geometry-optimized Mg2CrBr structure. The functional is GGA-PBE.

The structure in CIF format:
```
data_Mg2CrBr
_symmetry_space_group_name_H-M 'I 4/m m m'
_symmetry_Int_Tables_number 139
_symmetry_space_group_name_Hall '-I 4 2'
_cell_length_a 4.2275
_cell_length_b 4.2275
_cell_length_c 9.9124
_cell_angle_alpha 90.00
_cell_angle_beta 90.00
_cell_angle_gamma 90.00
loop_
_atom_site_label
_atom_site_type_symbol
_atom_site_fract_x
_atom_site_fract_y
_atom_site_fract_z
Mg1 Mg 0.0000 0.5000 0.2500
Cr1 Cr 0.0000 0.0000 0.0000
Br1 Br 0.0000 0.0000 0.5000
```

Output
M_tot ... 8.95 Bohr magnetons per cell
Energy relative to the elements, uncorrected ... 0.257 eV/atom
ΔE to the lowest computed polymorph ... 0.291 eV/atom



3.
This record from Alexandria describes a geometry-optimized Mg2CrBr structure. The functional is GGA-PBE.

The structure in CIF format:
```
data_Mg2CrBr
_symmetry_space_group_name_H-M 'F -4 3 m'
_symmetry_Int_Tables_number 216
_symmetry_space_group_name_Hall 'F -4 2 3'
_cell_length_a 7.2993
_cell_length_b 7.2993
_cell_length_c 7.2993
_cell_angle_alpha 90.00
_cell_angle_beta 90.00
_cell_angle_gamma 90.00
loop_
_atom_site_label
_atom_site_type_symbol
_atom_site_fract_x
_atom_site_fract_y
_atom_site_fract_z
Mg1 Mg 0.0000 0.0000 0.0000
Mg2 Mg 0.2500 0.2500 0.2500
Cr1 Cr 0.2500 0.2500 0.7500
Br1 Br 0.0000 0.0000 0.5000
```

Output
M_tot ... 19.93 Bohr magnetons per cell
Energy relative to the elements, uncorrected ... 0.444 eV/atom
ΔE to the lowest computed polymorph ... 0.478 eV/atom



4.
This record from Alexandria describes a geometry-optimized Mg2CrBr structure. The functional is GGA-PBE.

The structure in CIF format:
```
data_Mg2CrBr
_symmetry_space_group_name_H-M 'C 1 2/m 1'
_symmetry_Int_Tables_number 12
_cell_length_a 11.0836
_cell_length_b 3.4204
_cell_length_c 5.5370
_cell_angle_alpha 90.00
_cell_angle_beta 119.38
_cell_angle_gamma 90.00
loop_
_symmetry_equiv_pos_as_xyz
'x,y,z'
'-x,-y,-z'
'-x,y,-z'
'x,-y,z'
'x+1/2,y+1/2,z'
'-x+1/2,-y+1/2,-z'
'-x+1/2,y+1/2,-z'
'x+1/2,-y+1/2,z'
loop_
_atom_site_label
_atom_site_type_symbol
_atom_site_fract_x
_atom_site_fract_y
_atom_site_fract_z
Mg1 Mg 0.2367 0.0000 0.2384
Cr1 Cr 0.0000 0.0000 0.5000
Br1 Br 0.0000 0.5000 0.0000
```

Output
M_tot ... 9.54 Bohr magnetons per cell
Energy relative to the elements, uncorrected ... 0.182 eV/atom
ΔE to the lowest computed polymorph ... 0.216 eV/atom